[1]
{"formula": "Nd2Sm2C2ICl4", "functional": "PBE", "state": "relaxed", "rho_g_cm3": 4.86, "dft_energy_ev_per_atom": -5.68, "de_polymorph_mev_per_atom": 20, "lattice": [[-4.6919, 0.5833, 8.4074], [-5.7737, -2.9514, 7.1409], [7.6234, -3.0552, 2.0153]], "species": ["Cl", "Cl", "Cl", "Cl", "I", "Nd", "Nd", "Sm", "Sm", "C", "C"], "frac_coords": [[0.8406, 0.8406, 0.1638], [0.1594, 0.1594, 0.8362], [0.8319, 0.8319, 0.6495], [0.1681, 0.1681, 0.3505], [0.5000, 0.5000, 0.0000], [0.6611, 0.6611, 0.5979], [0.3389, 0.3389, 0.4021], [0.0010, 0.0010, 0.6915], [0.9990, 0.9990, 0.3085], [0.4615, 0.4615, 0.4785], [0.5385, 0.5385, 0.5215]]}



[2]
{"formula": "Nd2Y2CI2Cl3", "functional": "PBE", "state": "relaxed", "rho_g_cm3": 4.75, "dft_energy_ev_per_atom": -5.48, "de_polymorph_mev_per_atom": 16, "lattice": [[-9.0293, 1.9537, -2.1493], [-9.4326, -0.7039, 0.7040], [1.3777, 5.8088, 5.6051]], "species": ["I", "I", "Y", "Y", "Nd", "Nd", "Cl", "Cl", "Cl", "C"], "frac_coords": [[0.8308, 0.8308, 0.6570], [0.1692, 0.1692, 0.3430], [0.3689, 0.3689, 0.9435], [0.6311, 0.6311, 0.0565], [0.0035, 0.0035, 0.7878], [0.9965, 0.9965, 0.2122], [0.8352, 0.8352, 0.1541], [0.1648, 0.1648, 0.8459], [0.5000, 0.5000, 0.5000], [0.5000, 0.5000, 0.0000]]}



[3]
{"formula": "Nd2Y2CI2Cl3", "functional": "PBE", "state": "relaxed", "rho_g_cm3": 4.94, "dft_energy_ev_per_atom": -5.48, "de_polymorph_mev_per_atom": 10, "lattice": [[-5.1471, -7.2475, 3.3436], [-1.6762, -8.8770, 2.9305], [2.4448, 3.4812, 6.8111]], "species": ["Y", "Y", "C", "I", "I", "Cl", "Cl", "Cl", "Nd", "Nd"], "frac_coords": [[0.9986, 0.9986, 0.2064], [0.0014, 0.0014, 0.7936], [0.5000, 0.5000, 0.0000], [0.8296, 0.8296, 0.2112], [0.1704, 0.1704, 0.7888], [0.1463, 0.1463, 0.3365], [0.5000, 0.5000, 0.5000], [0.8537, 0.8537, 0.6635], [0.3618, 0.3618, 0.9235], [0.6382, 0.6382, 0.0765]]}